(1)
DFT (PBE-GGA) results for crystalline AcPmSi at its relaxed geometry.

a = 5.1692 Å, b = 5.1692 Å, c = 5.1692 Å
α = 60.00°, β = 60.00°, γ = 60.00°
Closest atoms and distances in Å follow each position.
Fractional positions:
Ac (0.2500, 0.2500, 0.2500)  4 Si 3.17
Si (0.0000, 0.0000, 0.0000)  4 Ac 3.17, 4 Pm 3.17
Pm (0.7500, 0.7500, 0.7500)  4 Si 3.17

Calculated values
energy above the most stable polymorph in this dataset	0	meV per atom



(2)
DFT (PBE-GGA) results for crystalline DyTm2Ga4Pt at its relaxed geometry.

a = 6.4346 Å, b = 6.9328 Å, c = 6.9328 Å
α = 32.71°, β = 90.00°, γ = 90.00°
Closest atoms and distances in Å follow each position.
Fractional positions:
Tm (0.0000, 0.2319, 0.2319)  6 Ga 2.83-2.94
Tm (0.5000, 0.7691, 0.7691)  6 Ga 3.05-3.06
Ga (0.1920, 0.5950, 0.5950)  2 Ga 2.47-2.59
Ga (0.2615, 0.4032, 0.4032)  1 Ga 2.59, 2 Pt 2.70, 1 Tm 2.83
Ga (0.8080, 0.5950, 0.5950)  2 Ga 2.47-2.59
Ga (0.7385, 0.4032, 0.4032)  1 Ga 2.59, 2 Pt 2.70, 1 Tm 2.83
Pt (0.0000, 0.9625, 0.9625)  8 Ga 2.70-2.91
Dy (0.5000, 0.0402, 0.0402)  8 Ga 2.88-3.08



(3)
DFT (PBE-GGA) results for crystalline ErLuSnN at its relaxed geometry.

a = 3.4661 Å, b = 3.4661 Å, c = 15.0751 Å
α = 90.00°, β = 90.00°, γ = 120.00°
Closest atoms and distances in Å follow each position.
Fractional positions:
Sn (0.3333, 0.6667, 0.5000)  6 Er 3.19, 6 Sn 3.47
Er (0.0000, 0.0000, 0.6652)  3 N 2.41
Er (0.0000, 0.0000, 0.3348)  3 N 2.41
Sn (0.0000, 0.0000, 0.0000)  6 Lu 3.19, 6 Sn 3.47
N (0.6667, 0.3333, 0.7542)  3 Lu 2.35, 3 Er 2.41
Lu (0.3333, 0.6667, 0.1645)  3 N 2.35
Lu (0.3333, 0.6667, 0.8355)  3 N 2.35
N (0.6667, 0.3333, 0.2458)  3 Lu 2.35, 3 Er 2.41



(4)
DFT (PBE-GGA) results for crystalline YMgHg6 at its relaxed geometry.

a = 6.5797 Å, b = 6.5797 Å, c = 4.9776 Å
α = 90.00°, β = 90.00°, γ = 120.00°
Closest atoms and distances in Å follow each position.
Fractional positions:
Hg (0.3248, 0.1624, 0.0000)  2 Mg 3.10, 8 Hg 3.14-3.37, 2 Y 3.29
Y (0.3333, 0.6667, 0.0000)  12 Hg 3.14-3.29
Mg (0.0000, 0.0000, 0.5000)  12 Hg 3.10-3.29
Hg (0.8376, 0.6752, 0.0000)  2 Mg 3.10, 8 Hg 3.14-3.37, 2 Y 3.29
Hg (0.5012, 0.0024, 0.5000)  2 Y 3.14, 8 Hg 3.14-3.31, 2 Mg 3.29
Hg (0.8376, 0.1624, 0.0000)  2 Mg 3.10, 8 Hg 3.14-3.37, 2 Y 3.29
Hg (0.5012, 0.4988, 0.5000)  2 Y 3.14, 8 Hg 3.14-3.31, 2 Mg 3.29
Hg (0.9976, 0.4988, 0.5000)  2 Y 3.14, 8 Hg 3.14-3.31, 2 Mg 3.29



(5)
DFT (PBE-GGA) results for crystalline Zr2TaAu at its relaxed geometry.

a = 4.7917 Å, b = 4.7917 Å, c = 4.7917 Å
α = 60.00°, β = 60.00°, γ = 60.00°
Closest atoms and distances in Å follow each position.
Fractional positions:
Zr (0.0000, 0.0000, 0.0000)  4 Zr 2.93, 4 Ta 2.93
Au (0.5000, 0.5000, 0.5000)  4 Zr 2.93, 4 Ta 2.93
Ta (0.7500, 0.7500, 0.7500)  4 Zr 2.93, 4 Au 2.93
Zr (0.2500, 0.2500, 0.2500)  4 Zr 2.93, 4 Au 2.93

Calculated values
ΔE_f	0.00	eV/f.u.



(6)
DFT (PBE-GGA) results for crystalline Dy2Y2Tm2LuNi2Te2 at its relaxed geometry.

a = 9.3223 Å, b = 9.3223 Å, c = 9.3223 Å
α = 156.26°, β = 66.96°, γ = 118.42°
Closest atoms and distances in Å follow each position.
Fractional positions:
Dy (0.7618, 0.8945, 0.8672)  2 Ni 2.78
Ni (0.1684, 0.4067, 0.7617)  2 Tm 2.77, 2 Dy 2.78, 2 Y 2.84
Tm (0.4117, 0.0961, 0.3155)  2 Ni 2.77
Ni (0.6450, 0.4067, 0.2383)  2 Tm 2.77, 2 Dy 2.78, 2 Y 2.84
Y (0.3929, 0.7467, 0.6462)  2 Ni 2.84, 2 Te 3.14
Tm (0.7806, 0.0961, 0.6845)  2 Ni 2.77
Lu (0.4772, 0.4772, 0.0000)  3 Te 3.15-3.20
Te (0.7392, 0.2392, 0.5000)  2 Lu 3.15, 2 Tm 3.18, 4 Dy 3.18
Y (0.1005, 0.7467, 0.3538)  2 Ni 2.84, 2 Te 3.14
Te (0.1416, 0.1416, 0.0000)  2 Dy 3.13, 4 Y 3.14, 1 Lu 3.20
Dy (0.0273, 0.8945, 0.1328)  2 Ni 2.78

Calculated values
energy above the most stable polymorph in this dataset	0	meV per atom



(7)
DFT (PBE-GGA) results for crystalline TaCdCoAs at its relaxed geometry.

a = 4.5031 Å, b = 4.5031 Å, c = 4.5031 Å
α = 60.00°, β = 60.00°, γ = 60.00°
Closest atoms and distances in Å follow each position.
Fractional positions:
As (0.0000, 0.0000, 0.0000)  4 Ta 2.76, 4 Co 2.76
Co (0.7500, 0.7500, 0.7500)  4 Cd 2.76, 4 As 2.76
Ta (0.2500, 0.2500, 0.2500)  4 As 2.76, 4 Cd 2.76
Cd (0.5000, 0.5000, 0.5000)  4 Co 2.76, 4 Ta 2.76

Calculated values
energy above the most stable polymorph in this dataset	0	meV per atom



(8)
DFT (PBE-GGA) results for crystalline PrGd2Al7Cu2 at its relaxed geometry.

a = 9.1354 Å, b = 9.1354 Å, c = 9.1354 Å
α = 35.29°, β = 35.29°, γ = 35.29°
Closest atoms and distances in Å follow each position.
Fractional positions:
Al (0.5818, 0.5818, 0.0724)  2 Cu 2.55-2.60, 5 Al 2.72-2.82
Al (0.4182, 0.9276, 0.4182)  2 Cu 2.55-2.60, 5 Al 2.72-2.82
Al (0.5000, 0.5000, 0.5000)  6 Al 2.78
Pr (0.0000, 0.0000, 0.0000)  6 Cu 3.20, 12 Al 3.43
Al (0.0724, 0.5818, 0.5818)  2 Cu 2.55-2.60, 5 Al 2.72-2.82
Cu (0.3354, 0.3354, 0.3354)  6 Al 2.55-2.60
Al (0.9276, 0.4182, 0.4182)  2 Cu 2.55-2.60, 5 Al 2.72-2.82
Gd (0.8581, 0.8581, 0.8581)  12 Al 3.21-3.29, 3 Gd 3.44
Al (0.4182, 0.4182, 0.9276)  2 Cu 2.55-2.60, 5 Al 2.72-2.82
Gd (0.1419, 0.1419, 0.1419)  12 Al 3.21-3.29, 3 Gd 3.44
Cu (0.6646, 0.6646, 0.6646)  6 Al 2.55-2.60
Al (0.5818, 0.0724, 0.5818)  2 Cu 2.55-2.60, 5 Al 2.72-2.82



Asked for energy across the records above, the calculation gives -5.106 -4.557 -6.557 -1.430 -8.052 -5.495 -5.692 -4.477 eV per atom in order.